Computed, not measured: HfAlZn2H after structural relaxation at the PBE-GGA level of DFT.

Structure (POSCAR):
```
HfAlZn2H
1.0
4.099 0.000 0.000
0.000 4.099 0.000
0.000 0.000 4.085
H Zn Hf Al
1 2 1 1
direct
0.000 0.000 0.000
0.000 0.500 0.000
0.500 0.000 0.000
0.000 0.000 0.500
0.500 0.500 0.500
```

---

Computed, not measured: HfZrAl2H after structural relaxation at the PBE-GGA level of DFT.

Structure (POSCAR):
```
HfZrAl2H
1.0
4.343 0.000 0.000
0.000 4.343 0.000
0.000 0.000 4.145
H Hf Al Zr
1 1 2 1
direct
0.000 0.000 0.000
0.000 0.000 0.500
0.000 0.500 0.000
0.500 0.000 0.000
0.500 0.500 0.500
```

---

Hf2ZrAlH | Alexandria via LeMat-Bulk | PBE-GGA | optimized geometry; E above lowest polymorph = 0.0 meV/atom
1.0
-0.462 0.615 4.304
-2.396 -3.648 0.264
3.633 -2.335 0.723
H Hf Al Zr
1 2 1 1
direct
0.000 0.000 0.000
0.000 0.500 0.000
0.500 0.000 0.000
0.500 0.500 0.500
0.000 0.000 0.500

---

Hf2ZrAlH | Alexandria via LeMat-Bulk | PBE-GGA | optimized geometry; E above lowest polymorph = 111.9 meV/atom
1.0
4.218 0.000 0.000
0.000 4.218 0.000
0.000 0.000 4.783
H Hf Al Zr
1 2 1 1
direct
0.000 0.000 0.000
0.000 0.500 0.000
0.500 0.000 0.000
0.000 0.000 0.500
0.500 0.500 0.500

---

Al3HgH | Alexandria via LeMat-Bulk | PBE-GGA | optimized geometry; E above lowest polymorph = 810.9 meV/atom
1.0
-4.504 -1.996 1.364
2.164 -2.043 4.157
-1.078 4.240 2.645
H Hg Al
1 1 3
direct
0.500 0.500 0.500
0.000 0.000 0.000
0.000 0.500 0.000
0.000 0.000 0.500
0.500 0.000 0.000

---

Al2HgH | Alexandria via LeMat-Bulk | PBE-GGA | optimized geometry; E above lowest polymorph = 183.1 meV/atom
1.0
0.000 3.153 3.153
3.153 0.000 3.153
3.153 3.153 0.000
H Hg Al
1 1 2
direct
0.000 0.000 0.000
0.500 0.500 0.500
0.250 0.250 0.250
0.750 0.750 0.750

---

AlHg2H2 | Alexandria via LeMat-Bulk | PBE-GGA | optimized geometry; E above lowest polymorph = 240.8 meV/atom
1.0
-0.312 -3.096 1.289
3.072 0.256 1.357
-1.268 1.141 6.834
H Hg Al
2 2 1
direct
0.750 0.250 0.500
0.250 0.750 0.500
0.359 0.359 0.281
0.641 0.641 0.719
0.000 0.000 0.000

---

Al3HgH | Alexandria via LeMat-Bulk | PBE-GGA | optimized geometry; E above lowest polymorph = 0.0 meV/atom
1.0
4.247 0.000 0.000
0.000 4.247 0.000
0.000 0.000 4.247
H Hg Al
1 1 3
direct
0.000 0.000 0.000
0.500 0.500 0.500
0.000 0.500 0.000
0.000 0.000 0.500
0.500 0.000 0.000

---

Al2Hg2H | Alexandria via LeMat-Bulk | PBE-GGA | optimized geometry; E above lowest polymorph = 47.7 meV/atom
1.0
-3.633 -0.004 -0.847
0.026 -3.729 -0.093
-3.530 -2.063 6.934
H Hg Al
1 2 2
direct
0.000 0.000 0.000
0.407 0.407 0.185
0.593 0.593 0.815
0.750 0.250 0.500
0.250 0.750 0.500

---

AlHg2H2 | Alexandria via LeMat-Bulk | PBE-GGA | optimized geometry; E above lowest polymorph = 0.0 meV/atom
1.0
-3.111 0.989 2.198
2.044 -0.818 3.262
1.845 5.375 0.192
H Hg Al
2 2 1
direct
0.000 0.500 0.000
0.500 0.000 0.000
0.500 0.500 0.500
0.000 0.000 0.500
0.000 0.000 0.000

---

Computed, not measured: AlHgH after structural relaxation at the PBE-GGA level of DFT.

Structure (POSCAR):
```
AlHgH
1.0
-2.390 2.177 0.917
1.825 -1.771 2.804
6.214 5.912 2.158
H Hg Al
2 2 2
direct
0.356 0.712 0.517
0.644 0.288 0.483
0.041 0.083 0.837
0.959 0.917 0.163
0.192 0.383 0.383
0.808 0.617 0.617
```

---

AlHg2H2 | Alexandria via LeMat-Bulk | PBE-GGA | optimized geometry; E above lowest polymorph = 177.2 meV/atom
1.0
7.167 0.000 0.000
0.000 7.167 0.000
0.000 0.000 3.758
H Hg Al
4 4 2
direct
0.348 0.848 0.500
0.848 0.652 0.500
0.652 0.152 0.500
0.152 0.348 0.500
0.341 0.841 0.000
0.841 0.659 0.000
0.659 0.159 0.000
0.159 0.341 0.000
0.000 0.000 0.000
0.500 0.500 0.000

---

Computed, not measured: Al2HgH6 after structural relaxation at the PBE-GGA level of DFT.

Structure (POSCAR):
```
Al2HgH6
1.0
2.037 -4.307 0.233
3.957 -0.905 -2.505
4.172 -0.547 2.247
Al Hg H
2 1 6
direct
0.750 0.750 0.750
0.250 0.250 0.250
0.000 0.000 0.000
0.348 0.652 0.652
0.652 0.652 0.348
0.652 0.348 0.652
0.652 0.348 0.348
0.348 0.348 0.652
0.348 0.652 0.348
```

---

Al2Hg2H | Alexandria via LeMat-Bulk | PBE-GGA | optimized geometry; E above lowest polymorph = 0.0 meV/atom
1.0
-6.887 2.748 -1.386
-1.777 -6.325 -3.706
-1.175 -1.429 3.002
H Hg Al
2 4 4
direct
0.000 0.000 0.000
0.500 0.500 0.000
0.312 0.812 0.000
0.812 0.688 0.000
0.688 0.188 0.000
0.188 0.312 0.000
0.122 0.622 0.500
0.622 0.878 0.500
0.878 0.378 0.500
0.378 0.122 0.500

---

Al2HgH | Alexandria via LeMat-Bulk | PBE-GGA | optimized geometry; E above lowest polymorph = 0.0 meV/atom
1.0
-0.076 1.439 4.636
0.409 -4.618 1.441
6.005 -1.091 2.979
H Hg Al
2 2 4
direct
0.500 0.500 0.000
0.250 0.750 0.500
0.000 0.000 0.000
0.750 0.250 0.500
0.473 0.125 0.250
0.277 0.625 0.250
0.375 0.527 0.750
0.875 0.723 0.750

---

Computed, not measured: AlIn2HgH after structural relaxation at the PBE-GGA level of DFT.

Structure (POSCAR):
```
AlIn2HgH
1.0
-1.243 5.416 0.447
-4.915 -1.316 2.278
1.440 0.071 3.149
H Al Hg In
1 1 1 2
direct
0.000 0.000 0.500
0.000 0.000 0.000
0.500 0.500 0.500
0.000 0.500 0.000
0.500 0.000 0.000
```

---

Computed, not measured: AlInHg2H after structural relaxation at the PBE-GGA level of DFT.

Structure (POSCAR):
```
AlInHg2H
1.0
5.528 0.000 0.000
0.000 5.528 0.000
0.000 0.000 3.440
H Al Hg In
1 1 2 1
direct
0.000 0.000 0.500
0.000 0.000 0.000
0.000 0.500 0.000
0.500 0.000 0.000
0.500 0.500 0.500
```

---

Computed, not measured: AlHg2HIr after structural relaxation at the PBE-GGA level of DFT.

Structure (POSCAR):
```
AlHg2HIr
1.0
-0.972 -5.232 0.496
1.176 0.081 3.155
-4.913 1.084 1.804
H Ir Hg Al
1 1 2 1
direct
0.000 0.500 0.000
0.000 0.000 0.000
0.000 0.000 0.500
0.500 0.000 0.000
0.500 0.500 0.500
```

---

Computed, not measured: K2AlHg2H4 after structural relaxation at the PBE-GGA level of DFT.

Structure (POSCAR):
```
K2AlHg2H4
1.0
6.227 0.080 0.116
-2.919 5.502 -0.116
-2.919 -2.041 5.110
K Al Hg H
2 1 2 4
direct
0.500 0.750 0.250
0.500 0.250 0.750
0.000 0.000 0.000
0.000 0.667 0.667
0.000 0.333 0.333
0.000 0.808 0.192
0.617 0.808 0.808
0.000 0.192 0.808
0.383 0.192 0.192
```

---

La2AlHgH | Alexandria via LeMat-Bulk | PBE-GGA | optimized geometry; E above lowest polymorph = 0.0 meV/atom
1.0
-1.130 2.757 4.385
-2.730 -4.131 1.894
3.409 -1.436 1.781
H Al Hg La
1 1 1 2
direct
0.000 0.000 0.000
0.000 0.000 0.500
0.500 0.500 0.500
0.000 0.500 0.000
0.500 0.000 0.000

---

no.,final energy (eV/atom)
1,-4.070
2,-6.160
3,-7.442
4,-7.330
5,-1.906
6,-2.328
7,-1.675
8,-2.717
9,-1.743
10,-1.916
11,-2.272
12,-1.739
13,-2.319
14,-1.791
15,-2.511
16,-2.419
17,-1.961
18,-2.893
19,-2.251
20,-3.808